(1)
## Sr2MgCd5 (GGA-PBE)

Data for crystalline Sr2MgCd5 at its relaxed geometry.

Lattice parameters (Å, degrees): 4.953 9.410 10.307 90.00 90.00 105.26
Fractional positions:
Sr 0.798 0.597 0.750
Sr 0.202 0.403 0.250
Sr 0.000 0.000 0.000
Sr 0.000 0.000 0.500
Mg 0.445 0.890 0.750
Mg 0.555 0.110 0.250
Cd 0.188 0.376 0.893
Cd 0.812 0.624 0.107
Cd 0.188 0.376 0.607
Cd 0.812 0.624 0.393
Cd 0.352 0.704 0.974
Cd 0.648 0.296 0.026
Cd 0.352 0.704 0.526
Cd 0.648 0.296 0.474
Cd 0.601 0.203 0.750
Cd 0.399 0.797 0.250

## Properties
* E_form: -235 meV/atom

***

(2)
## SrDyZnIr (GGA-PBE)

Data for crystalline SrDyZnIr at its relaxed geometry.

Lattice parameters (Å, degrees): 5.063 5.063 5.063 60.00 60.00 60.00
Fractional positions:
Sr 0.000 0.000 0.000
Zn 0.250 0.250 0.250
Ir 0.750 0.750 0.750
Dy 0.500 0.500 0.500

## Properties
* E_form: -274 meV/atom

***

(3)
## Sm6DyEr2Tm (GGA-PBE)

Data for crystalline Sm6DyEr2Tm at its relaxed geometry.

Lattice parameters (Å, degrees): 9.549 8.858 8.858 117.71 93.72 93.72
Fractional positions:
Sm 0.054 0.120 0.760
Sm 0.446 0.240 0.880
Sm 0.946 0.880 0.240
Sm 0.554 0.760 0.120
Sm 0.314 0.988 0.435
Sm 0.186 0.565 0.012
Sm 0.686 0.012 0.565
Sm 0.814 0.435 0.988
Sm 0.118 0.709 0.491
Sm 0.382 0.509 0.291
Sm 0.882 0.291 0.509
Sm 0.618 0.491 0.709
Dy 0.250 0.973 0.027
Dy 0.750 0.027 0.973
Er 0.454 0.799 0.698
Er 0.046 0.302 0.201
Er 0.546 0.201 0.302
Er 0.954 0.698 0.799
Tm 0.250 0.411 0.589
Tm 0.750 0.589 0.411

## Properties
* E_form: 119 meV/atom

***

(4)
## Y2In2Tc (GGA-PBE)

Data for crystalline Y2In2Tc at its relaxed geometry.

Lattice parameters (Å, degrees): 7.797 7.797 7.797 148.82 148.82 44.68
Site moments in Bohr magnetons follow the coordinates.
Fractional positions:
Y 0.250 0.750 0.500  -0.18
Y 0.750 0.250 0.500  -0.18
In 0.591 0.591 0.000  -0.07
In 0.409 0.409 0.000  -0.07
Tc 0.000 0.000 0.000  1.98

## Properties
* relative energy among the computed polymorphs: 667 meV per atom
* E_form: 626 meV/atom

***

(5)
## LiAs2RuRh (GGA-PBE)

Data for crystalline LiAs2RuRh at its relaxed geometry.

Lattice parameters (Å, degrees): 4.108 4.108 5.999 110.02 110.02 90.00
Fractional positions:
Li 0.000 0.000 0.000
As 0.626 0.626 0.253
As 0.374 0.374 0.747
Ru 0.250 0.750 0.500
Rh 0.750 0.250 0.500

## Properties
* E_form: -470 meV/atom

***

(6)
## Ce2PuPb (GGA-PBE)

Data for crystalline Ce2PuPb at its relaxed geometry.

Lattice parameters (Å, degrees): 4.060 4.060 6.840 90.00 90.00 90.00
Site moments in Bohr magnetons follow the coordinates.
Fractional positions:
Pb 0.500 0.500 0.000  -0.06
Ce 0.000 0.000 0.752  0.84
Ce 0.000 0.000 0.248  0.84
Pu 0.500 0.500 0.500  5.60

## Properties
* relative energy among the computed polymorphs: 117 meV per atom
* E_form: -126 meV/atom

***

(7)
## ErZrAsP (GGA-PBE)

Data for crystalline ErZrAsP at its relaxed geometry.

Lattice parameters (Å, degrees): 3.835 3.836 7.061 90.00 105.75 120.01
Fractional positions:
Er 0.956 0.376 0.347
Zr 0.317 0.556 0.888
As 0.480 0.138 0.633
P 0.125 0.961 0.101

## Properties
* E_form: -1314 meV/atom

***

(8)
## PmAuN (GGA-PBE)

Data for crystalline PmAuN at its relaxed geometry.

Lattice parameters (Å, degrees): 4.201 4.201 4.653 116.84 116.84 90.00
Fractional positions:
Pm 0.584 0.584 0.168
Au 0.987 0.987 0.973
N 0.279 0.279 0.558

## Properties
* relative energy among the computed polymorphs: 966 meV per atom
* E_form (uncorrected): 62 meV per atom

***

(9)
## AcBiPt10 (GGA-PBE)

Data for crystalline AcBiPt10 at its relaxed geometry.

Lattice parameters (Å, degrees): 4.467 5.461 9.428 90.00 90.00 90.00
Fractional positions:
Ac 0.000 0.500 0.500
Bi 0.000 0.000 0.000
Pt 0.000 0.000 0.322
Pt 0.000 0.500 0.840
Pt 0.000 0.500 0.160
Pt 0.000 0.000 0.678
Pt 0.500 0.000 0.500
Pt 0.500 0.500 0.000
Pt 0.500 0.252 0.251
Pt 0.500 0.748 0.749
Pt 0.500 0.748 0.251
Pt 0.500 0.252 0.749

## Properties
* E_form: -401 meV/atom

***

(10)
## Hf2ZrPd2 (GGA-PBE)

Data for crystalline Hf2ZrPd2 at its relaxed geometry.

Lattice parameters (Å, degrees): 7.722 7.722 3.293 90.00 90.00 90.00
Fractional positions:
Hf 0.169 0.669 0.500
Hf 0.669 0.831 0.500
Hf 0.831 0.331 0.500
Hf 0.331 0.169 0.500
Zr 0.000 0.000 0.000
Zr 0.500 0.500 0.000
Pd 0.372 0.872 0.000
Pd 0.872 0.628 0.000
Pd 0.628 0.128 0.000
Pd 0.128 0.372 0.000

## Properties
* relative energy among the computed polymorphs: 0 meV per atom
* E_form: -517 meV/atom

***

(11)
## SnRh3W (GGA-PBE)

Data for crystalline SnRh3W at its relaxed geometry.

Lattice parameters (Å, degrees): 4.738 4.738 4.738 90.00 90.00 90.00
Fractional positions:
Rh 0.000 0.500 0.000
Rh 0.000 0.000 0.500
Rh 0.500 0.000 0.000
Sn 0.500 0.500 0.500
W 0.000 0.000 0.000

## Properties
* relative energy among the computed polymorphs: 0 meV per atom
* E_form: 888 meV/atom

***

(12)
## Ca4YTe (GGA-PBE)

Data for crystalline Ca4YTe at its relaxed geometry.

Lattice parameters (Å, degrees): 6.824 6.824 6.824 60.00 60.00 60.00
Site moments in Bohr magnetons follow the coordinates.
Fractional positions:
Ca 0.878 0.374 0.374  0.04
Ca 0.374 0.374 0.878  0.04
Ca 0.374 0.878 0.374  0.04
Ca 0.374 0.374 0.374  0.04
Y 0.000 0.000 0.000  0.20
Te 0.750 0.750 0.750  0.00

## Properties
* E_form (uncorrected): 94 meV per atom

***

(13)
## PrSm2HoTl2 (GGA-PBE)

Data for crystalline PrSm2HoTl2 at its relaxed geometry.

Lattice parameters (Å, degrees): 5.202 6.926 10.189 90.00 90.00 90.00
Fractional positions:
Pr 0.000 0.959 0.456
Pr 0.000 0.459 0.544
Sm 0.500 0.053 0.046
Sm 0.000 0.334 0.182
Sm 0.500 0.553 0.954
Sm 0.000 0.834 0.818
Ho 0.500 0.179 0.690
Ho 0.500 0.679 0.310
Tl 0.000 0.297 0.862
Tl 0.500 0.224 0.368
Tl 0.000 0.797 0.138
Tl 0.500 0.724 0.632

## Properties
* E_form: -268 meV/atom

***

(14)
## RbCd2In10 (GGA-PBE)

Data for crystalline RbCd2In10 at its relaxed geometry.

Lattice parameters (Å, degrees): 6.167 8.485 8.231 82.18 68.00 68.69
Fractional positions:
Rb 0.000 0.000 0.000
Cd 0.000 0.500 0.000
Cd 0.500 0.500 0.000
In 0.358 0.639 0.645
In 0.642 0.361 0.355
In 0.997 0.361 0.645
In 0.003 0.639 0.355
In 0.000 0.000 0.500
In 0.500 0.000 0.500
In 0.284 0.220 0.212
In 0.716 0.780 0.788
In 0.504 0.780 0.212
In 0.496 0.220 0.788

## Properties
* E_form: -16 meV/atom

***

(15)
## Pr5PaIr4 (GGA-PBE)

Data for crystalline Pr5PaIr4 at its relaxed geometry.

Lattice parameters (Å, degrees): 4.159 8.058 9.281 105.53 102.95 90.00
Fractional positions:
Pr 0.839 0.666 0.678
Pr 0.831 0.147 0.661
Pr 0.169 0.853 0.339
Pr 0.500 0.500 0.000
Pr 0.161 0.334 0.322
Pa 0.500 0.000 0.000
Ir 0.338 0.904 0.676
Ir 0.002 0.764 0.004
Ir 0.662 0.096 0.324
Ir 0.998 0.236 0.996

## Properties
* E_form: -575 meV/atom

***

(16)
## TbSm3Dy2Bi6 (GGA-PBE)

Data for crystalline TbSm3Dy2Bi6 at its relaxed geometry.

Lattice parameters (Å, degrees): 4.521 9.039 10.103 102.84 102.93 90.00
Fractional positions:
Tb 0.500 0.000 0.000
Sm 0.500 0.500 0.000
Sm 0.833 0.167 0.667
Sm 0.167 0.833 0.333
Dy 0.833 0.667 0.667
Dy 0.167 0.333 0.333
Bi 0.334 0.914 0.669
Bi 0.668 0.580 0.336
Bi 0.666 0.086 0.331
Bi 0.001 0.248 0.003
Bi 0.999 0.752 0.997
Bi 0.332 0.420 0.664

## Properties
* E_form: -895 meV/atom

***

(17)
## YGe (GGA-PBE)

Data for crystalline YGe at its relaxed geometry.

Lattice parameters (Å, degrees): 4.223 4.177 15.979 90.00 90.00 90.00
Fractional positions:
Y 0.000 0.000 0.824
Y 0.000 0.000 0.176
Y 0.500 0.500 0.324
Y 0.500 0.500 0.676
Y 0.000 0.500 0.500
Y 0.500 0.000 0.000
Ge 0.000 0.000 0.640
Ge 0.000 0.000 0.360
Ge 0.500 0.500 0.140
Ge 0.500 0.500 0.860
Ge 0.500 0.000 0.500
Ge 0.000 0.500 0.000

## Properties
* E_form: -783 meV/atom

***

(18)
## KTcIr2 (GGA-PBE)

Data for crystalline KTcIr2 at its relaxed geometry.

Lattice parameters (Å, degrees): 2.664 5.269 5.787 56.24 90.00 90.00
Site moments in Bohr magnetons follow the coordinates.
Fractional positions:
Ir 0.000 0.000 0.000  0.28
Ir 0.500 0.500 0.000  0.15
K 0.500 0.500 0.500  0.02
Tc 0.000 0.000 0.500  1.04

## Properties
* relative energy among the computed polymorphs: 748 meV per atom
* E_form: 1103 meV/atom

***

(19)
## NaIn6Bi4 (GGA-PBE)

Data for crystalline NaIn6Bi4 at its relaxed geometry.

Lattice parameters (Å, degrees): 4.591 9.490 9.490 120.00 90.00 90.00
Fractional positions:
Na 0.000 0.000 0.000
In 0.000 0.538 0.076
In 0.500 0.613 0.806
In 0.000 0.538 0.462
In 0.000 0.924 0.462
In 0.500 0.194 0.806
In 0.500 0.194 0.387
Bi 0.500 0.816 0.631
Bi 0.500 0.369 0.184
Bi 0.500 0.816 0.184
Bi 0.000 0.333 0.667

## Properties
* relative energy among the computed polymorphs: 10 meV per atom
* E_form: 10 meV/atom

***

(20)
## TlGaCu2Au (GGA-PBE)

Data for crystalline TlGaCu2Au at its relaxed geometry.

Lattice parameters (Å, degrees): 4.901 5.330 4.901 90.00 90.00 90.00
Fractional positions:
Tl 0.000 0.500 0.000
Au 0.000 0.000 0.000
Cu 0.000 0.000 0.500
Cu 0.500 0.000 0.000
Ga 0.500 0.500 0.500

## Properties
* E_form: 580 meV/atom